# PrDyY6Tm2 | Alexandria via LeMat-Bulk | PBE-GGA | optimized geometry
data_PrDyY6Tm2
_symmetry_space_group_name_H-M 'C 1 2/c 1'
_symmetry_Int_Tables_number 15
_cell_length_a 9.168
_cell_length_b 14.911
_cell_length_c 9.663
_cell_angle_alpha 90.00
_cell_angle_beta 98.47
_cell_angle_gamma 90.00
loop_
_symmetry_equiv_pos_as_xyz
'x,y,z'
'-x,-y,-z'
'-x,y,-z+1/2'
'x,-y,z+1/2'
'x+1/2,y+1/2,z'
'-x+1/2,-y+1/2,-z'
'-x+1/2,y+1/2,-z+1/2'
'x+1/2,-y+1/2,z+1/2'
loop_
_atom_site_label
_atom_site_type_symbol
_atom_site_fract_x
_atom_site_fract_y
_atom_site_fract_z
Pr1 Pr 0.000 0.094 0.250
Dy1 Dy 0.000 0.474 0.750
Y1 Y 0.065 0.319 0.444
Y2 Y 0.099 0.106 0.619
Y3 Y 0.203 0.275 0.819
Tm1 Tm 0.243 0.450 0.047
# - crystal system = monoclinic
# - total DFT energy (no corrections) (eV per atom) = -5.589

=====

# Rb3In2Cl8 | Alexandria via LeMat-Bulk | PBE-GGA | optimized geometry
data_Rb3In2Cl8
_symmetry_space_group_name_H-M 'R -3 m'
_symmetry_Int_Tables_number 166
_symmetry_space_group_name_Hall '-R 3 2"'
_cell_length_a 7.6708
_cell_length_b 7.6708
_cell_length_c 27.7303
_cell_angle_alpha 90.00
_cell_angle_beta 90.00
_cell_angle_gamma 120.00
loop_
_atom_site_label
_atom_site_type_symbol
_atom_site_fract_x
_atom_site_fract_y
_atom_site_fract_z
Rb1 Rb 0.0000 0.0000 0.0000
Rb2 Rb 0.0000 0.0000 0.2030
In1 In 0.0000 0.0000 0.4084
Cl1 Cl 0.0000 0.0000 0.3191
Cl2 Cl 0.0244 0.5122 0.7692
# - crystal system = trigonal
# - E_form (uncorrected) (eV per atom) = -1.4247
# - total DFT energy (no corrections) (eV per atom) = -3.206

=====

# BeRhF | Alexandria via LeMat-Bulk | PBE-GGA | optimized geometry
data_BeRhF
_symmetry_space_group_name_H-M 'P 63/m m c'
_symmetry_Int_Tables_number 194
_symmetry_space_group_name_Hall '-P 6c 2c'
_cell_length_a 4.1249
_cell_length_b 4.1249
_cell_length_c 4.5277
_cell_angle_alpha 90.00
_cell_angle_beta 90.00
_cell_angle_gamma 120.00
loop_
_atom_site_label
_atom_site_type_symbol
_atom_site_fract_x
_atom_site_fract_y
_atom_site_fract_z
Be1 Be 0.0000 0.0000 0.0000
Rh1 Rh 0.3333 0.6667 0.2500
F1 F 0.3333 0.6667 0.7500
# - crystal system = hexagonal
# - E_form (uncorrected) (eV per atom) = -0.0459
# - total DFT energy (no corrections) (eV per atom) = -4.362

=====

# La2ScSe | Alexandria via LeMat-Bulk | PBE-GGA | optimized geometry
data_La2ScSe
_symmetry_space_group_name_H-M 'I m m 2'
_symmetry_Int_Tables_number 44
_cell_length_a 3.655
_cell_length_b 5.445
_cell_length_c 11.484
_cell_angle_alpha 90.00
_cell_angle_beta 90.00
_cell_angle_gamma 90.00
loop_
_symmetry_equiv_pos_as_xyz
'x,y,z'
'-x,-y,z'
'-x,y,z'
'x,-y,z'
'x+1/2,y+1/2,z+1/2'
'-x+1/2,-y+1/2,z+1/2'
'-x+1/2,y+1/2,z+1/2'
'x+1/2,-y+1/2,z+1/2'
loop_
_atom_site_label
_atom_site_type_symbol
_atom_site_fract_x
_atom_site_fract_y
_atom_site_fract_z
La1 La 0.000 0.000 0.000
La2 La 0.000 0.500 0.200
Sc1 Sc 0.000 0.500 0.793
Se1 Se 0.000 0.000 0.474
# - crystal system = orthorhombic
# - E_form (uncorrected) (eV per atom) = -0.6908
# - total DFT energy (no corrections) (eV per atom) = -5.609

=====

# Tm6Mg2Al | Alexandria via LeMat-Bulk | PBE-GGA | optimized geometry
data_Tm6Mg2Al
_symmetry_space_group_name_H-M 'I m m m'
_symmetry_Int_Tables_number 71
_symmetry_space_group_name_Hall '-I 2 2'
_cell_length_a 9.533
_cell_length_b 10.002
_cell_length_c 10.398
_cell_angle_alpha 90.00
_cell_angle_beta 90.00
_cell_angle_gamma 90.00
loop_
_atom_site_label
_atom_site_type_symbol
_atom_site_fract_x
_atom_site_fract_y
_atom_site_fract_z
Tm1 Tm 0.000 0.178 0.244
Tm2 Tm 0.174 0.500 0.254
Tm3 Tm 0.238 0.308 0.000
Mg1 Mg 0.000 0.364 0.500
Mg2 Mg 0.143 0.000 0.000
Al1 Al 0.000 0.000 0.500
Al2 Al 0.000 0.500 0.000
# - crystal system = orthorhombic
# - total DFT energy (no corrections) (eV per atom) = -3.778

=====

# NaCaPrAu | Alexandria via LeMat-Bulk | PBE-GGA | optimized geometry
data_NaCaPrAu
_symmetry_space_group_name_H-M 'F -4 3 m'
_symmetry_Int_Tables_number 216
_symmetry_space_group_name_Hall 'F -4 2 3'
_cell_length_a 7.608
_cell_length_b 7.608
_cell_length_c 7.608
_cell_angle_alpha 90.00
_cell_angle_beta 90.00
_cell_angle_gamma 90.00
loop_
_atom_site_label
_atom_site_type_symbol
_atom_site_fract_x
_atom_site_fract_y
_atom_site_fract_z
Na1 Na 0.000 0.000 0.000
Ca1 Ca 0.250 0.250 0.250
Pr1 Pr 0.250 0.250 0.750
Au1 Au 0.000 0.000 0.500
# - crystal system = cubic
# - total DFT energy (no corrections) (eV per atom) = -3.109

=====

# TlHg2PdCl | Alexandria via LeMat-Bulk | PBE-GGA | optimized geometry
data_TlHg2PdCl
_symmetry_space_group_name_H-M 'P 4/m m m'
_symmetry_Int_Tables_number 123
_symmetry_space_group_name_Hall '-P 4 2'
_cell_length_a 5.279
_cell_length_b 5.279
_cell_length_c 5.431
_cell_angle_alpha 90.00
_cell_angle_beta 90.00
_cell_angle_gamma 90.00
loop_
_atom_site_label
_atom_site_type_symbol
_atom_site_fract_x
_atom_site_fract_y
_atom_site_fract_z
Tl1 Tl 0.000 0.000 0.000
Hg1 Hg 0.000 0.500 0.500
Pd1 Pd 0.000 0.000 0.500
Cl1 Cl 0.500 0.500 0.000
# - crystal system = tetragonal
# - E_form (uncorrected) (eV per atom) = -0.2816
# - total DFT energy (no corrections) (eV per atom) = -2.283

=====

# VCrH3 | Alexandria via LeMat-Bulk | PBE-GGA | optimized geometry
data_VCrH3
_symmetry_space_group_name_H-M 'P m -3 m'
_symmetry_Int_Tables_number 221
_symmetry_space_group_name_Hall '-P 4 2 3'
_cell_length_a 3.266
_cell_length_b 3.266
_cell_length_c 3.266
_cell_angle_alpha 90.00
_cell_angle_beta 90.00
_cell_angle_gamma 90.00
loop_
_atom_site_label
_atom_site_type_symbol
_atom_site_fract_x
_atom_site_fract_y
_atom_site_fract_z
V1 V 0.000 0.000 0.000
Cr1 Cr 0.500 0.500 0.500
H1 H 0.000 0.500 0.500
# - crystal system = cubic
# - total DFT energy (no corrections) (eV per atom) = -5.584

=====

# Zn3In5Hg12 | Alexandria via LeMat-Bulk | PBE-GGA | optimized geometry
data_Zn3In5Hg12
_symmetry_space_group_name_H-M 'I a -3 d'
_symmetry_Int_Tables_number 230
_symmetry_space_group_name_Hall '-I 4bd 2c 3'
_cell_length_a 16.830
_cell_length_b 16.830
_cell_length_c 16.830
_cell_angle_alpha 90.00
_cell_angle_beta 90.00
_cell_angle_gamma 90.00
loop_
_atom_site_label
_atom_site_type_symbol
_atom_site_fract_x
_atom_site_fract_y
_atom_site_fract_z
Zn1 Zn 0.000 0.250 0.125
In1 In 0.000 0.000 0.000
In2 In 0.000 0.250 0.375
Hg1 Hg 0.020 0.092 0.650
# - crystal system = cubic
# - total DFT energy (no corrections) (eV per atom) = -0.914

=====

# Np2PaAl9 | Alexandria via LeMat-Bulk | PBE-GGA | optimized geometry
data_Np2PaAl9
_symmetry_space_group_name_H-M 'P 4/m m m'
_symmetry_Int_Tables_number 123
_symmetry_space_group_name_Hall '-P 4 2'
_cell_length_a 4.268
_cell_length_b 4.268
_cell_length_c 12.832
_cell_angle_alpha 90.00
_cell_angle_beta 90.00
_cell_angle_gamma 90.00
loop_
_atom_site_label
_atom_site_type_symbol
_atom_site_fract_x
_atom_site_fract_y
_atom_site_fract_z
Np1 Np 0.000 0.000 0.166
Pa1 Pa 0.000 0.000 0.500
Al1 Al 0.000 0.500 0.000
Al2 Al 0.000 0.500 0.330
Al3 Al 0.500 0.500 0.166
Al4 Al 0.500 0.500 0.500
# - crystal system = tetragonal
# - total DFT energy (no corrections) (eV per atom) = -5.910